[1]
Entry from Alexandria via LeMat-Bulk: a relaxed Ba2PuNpN5 crystal (GGA-PBE).

Calculated values
Volume: 18.6 A^3/atom
VASP energy: -8.8996 eV/atom
Formation energy (no corrections): -817 meV per atom

a b c (Å): 3.622 14.141 13.098
angles (deg): 90.00 90.00 90.00
Space group Cmc2_1 (No. 36)
Symmetry-distinct sites (fractional):
Ba1 0.000 0.077 0.000 (multiplicity 4)
Ba2 0.000 0.161 0.627 (multiplicity 4)
Pu1 0.000 0.472 0.774 (multiplicity 4)
Np1 0.000 0.224 0.357 (multiplicity 4)
N1 0.000 0.073 0.361 (multiplicity 4)
N2 0.000 0.261 0.956 (multiplicity 4)
N3 0.000 0.310 0.761 (multiplicity 4)
N4 0.000 0.365 0.319 (multiplicity 4)
N5 0.000 0.490 0.127 (multiplicity 4)



[2]
Entry from Alexandria via LeMat-Bulk: a relaxed BaPuNpN3 crystal (GGA-PBE).

Calculated values
Volume: 19.0 A^3/atom
VASP energy: -9.8731 eV/atom
Formation energy (no corrections): -845 meV per atom

a b c (Å): 7.193 3.575 9.276
angles (deg): 90.00 106.62 90.00
Space group P2_1/m (No. 11)
Symmetry-distinct sites (fractional):
Ba1 0.200 0.250 0.219 (multiplicity 2)
Pu1 0.187 0.250 0.618 (multiplicity 2)
Np1 0.320 0.750 0.889 (multiplicity 2)
N1 0.136 0.250 0.882 (multiplicity 2)
N2 0.142 0.750 0.470 (multiplicity 2)
N3 0.478 0.750 0.127 (multiplicity 2)



[3]
Entry from Alexandria via LeMat-Bulk: a relaxed Ba2PuNpN4 crystal (GGA-PBE).

Calculated values
Volume: 17.7 A^3/atom
VASP energy: -8.9661 eV/atom
Formation energy (no corrections): -914 meV per atom

a b c (Å): 6.215 3.597 6.678
angles (deg): 90.00 108.09 90.00
Space group P2/m (No. 10)
Symmetry-distinct sites (fractional):
Ba1 0.000 0.000 0.000 (multiplicity 1)
Ba2 0.500 0.500 0.000 (multiplicity 1)
Pu1 0.000 0.500 0.500 (multiplicity 1)
Np1 0.500 0.000 0.500 (multiplicity 1)
N1 0.237 0.000 0.667 (multiplicity 2)
N2 0.288 0.500 0.330 (multiplicity 2)



[4]
Entry from Alexandria via LeMat-Bulk: a relaxed RbBaNpN3 crystal (GGA-PBE).

Calculated values
Volume: 22.1 A^3/atom
VASP energy: -7.4331 eV/atom
Formation energy (no corrections): -632 meV per atom

a b c (Å): 6.400 13.585 6.148
angles (deg): 90.00 97.18 90.00
Space group C2/c (No. 15)
Symmetry-distinct sites (fractional):
Rb1 0.000 0.242 0.250 (multiplicity 4)
Ba1 0.000 0.409 0.750 (multiplicity 4)
Np1 0.000 0.063 0.750 (multiplicity 4)
N1 0.000 0.206 0.750 (multiplicity 4)
N2 0.197 0.024 0.498 (multiplicity 8)



[5]
Entry from Alexandria via LeMat-Bulk: a relaxed BaNp2RhN4 crystal (GGA-PBE).

Calculated values
Volume: 15.6 A^3/atom
VASP energy: -9.3485 eV/atom
Formation energy (no corrections): -791 meV per atom

a b c (Å): 3.520 11.876 11.907
angles (deg): 90.00 90.00 90.00
Space group Cmcm (No. 63)
Symmetry-distinct sites (fractional):
Ba1 0.000 0.096 0.250 (multiplicity 4)
Np1 0.000 0.368 0.055 (multiplicity 8)
Rh1 0.000 0.171 0.750 (multiplicity 4)
N1 0.000 0.000 0.000 (multiplicity 4)
N2 0.000 0.253 0.590 (multiplicity 8)
N3 0.000 0.419 0.250 (multiplicity 4)



[6]
Entry from Alexandria via LeMat-Bulk: a relaxed Ba2NpRu2N6 crystal (GGA-PBE).

Calculated values
Volume: 17.3 A^3/atom
VASP energy: -8.1886 eV/atom
Formation energy (no corrections): -435 meV per atom

a b c (Å): 6.1506 6.1506 17.4346
angles (deg): 90.00 90.00 120.00
Space group R-3m (No. 166, hexagonal axes)
Symmetry-distinct sites (fractional):
Ba1 0.0000 0.0000 0.2263 (multiplicity 6)
Np1 0.0000 0.0000 0.0000 (multiplicity 3)
Ru1 0.0000 0.0000 0.4311 (multiplicity 6)
N1 0.0034 0.5017 0.7399 (multiplicity 18)



[7]
Entry from Alexandria via LeMat-Bulk: a relaxed BaNpS2N crystal (GGA-PBE).

Calculated values
Volume: 23.5 A^3/atom
VASP energy: -7.7591 eV/atom
Formation energy (no corrections): -1470 meV per atom

a b c (Å): 5.360 5.360 4.096
angles (deg): 90.00 90.00 90.00
Space group P4/mmm (No. 123)
Symmetry-distinct sites (fractional):
Ba1 0.000 0.000 0.000 (multiplicity 1)
Np1 0.500 0.500 0.500 (multiplicity 1)
S1 0.000 0.500 0.500 (multiplicity 2)
N1 0.500 0.500 0.000 (multiplicity 1)



[8]
Entry from Alexandria via LeMat-Bulk: a relaxed Ba2NpSiN4 crystal (GGA-PBE).

Calculated values
Volume: 18.1 A^3/atom
VASP energy: -7.7591 eV/atom
Formation energy (no corrections): -820 meV per atom

a b c (Å): 6.132 6.132 7.721
angles (deg): 90.00 90.00 90.00
Space group I-4 (No. 82)
Symmetry-distinct sites (fractional):
Ba1 0.000 0.000 0.000 (multiplicity 2)
Ba2 0.000 0.500 0.250 (multiplicity 2)
Np1 0.000 0.500 0.750 (multiplicity 2)
Si1 0.000 0.000 0.500 (multiplicity 2)
N1 0.122 0.207 0.629 (multiplicity 8)